RbInGe | GGA-PBE | relaxed

Summary:
Total energy   -2.840 eV/atom
DOS at the Fermi energy   0.41 states/eV per atom
ΔH_f (0 K)   -0.0654 eV per atom

Lattice parameters (Å, degrees): 6.503 6.503 8.708 122.26 122.26 41.86
Positions (direct):
Rb (0.071, 0.071, 0.347)
Rb (0.929, 0.929, 0.653)
In (0.286, 0.286, 0.185)
In (0.714, 0.714, 0.815)
Ge (0.378, 0.378, 0.949)
Ge (0.622, 0.622, 0.051)

---

K2CoIr | GGA-PBE | relaxed

Summary:
Total energy   -4.077 eV/atom
DOS at the Fermi energy   0.94 states/eV per atom
ΔH_f (0 K)   0.4631 eV per atom

Lattice parameters (Å, degrees): 4.058 4.058 9.746 102.86 102.86 60.14
Positions (direct):
K (0.000, 0.000, 0.000)
K (0.184, 0.184, 0.514)
Co (0.759, 0.759, 0.257)
Ir (0.425, 0.425, 0.257)

---

PaGe2Pd | GGA-PBE | relaxed

Summary:
Total energy   -6.288 eV/atom
DOS at the Fermi energy   0.97 states/eV per atom
ΔH_f (0 K)   -0.3069 eV per atom

Lattice parameters (Å, degrees): 4.780 4.780 4.780 60.00 60.00 60.00
Positions (direct):
Pa (0.000, 0.000, 0.000)
Ge (0.250, 0.250, 0.250)
Ge (0.750, 0.750, 0.750)
Pd (0.500, 0.500, 0.500)

---

TeOsCl2 | GGA-PBE | relaxed

Summary:
Total energy   -4.113 eV/atom
DOS at the Fermi energy   1.48 states/eV per atom

Lattice parameters (Å, degrees): 3.189 3.189 8.734 90.00 90.00 90.00
Positions (direct):
Te (0.000, 0.000, 0.000)
Os (0.500, 0.500, 0.820)
Cl (0.000, 0.000, 0.628)
Cl (0.500, 0.500, 0.246)

---

CeIn4Rh2 | GGA-PBE | relaxed

Summary:
Total energy   -4.974 eV/atom
DOS at the Fermi energy   1.06 states/eV per atom
ΔH_f (0 K)   -0.4607 eV per atom

Lattice parameters (Å, degrees): 18.370 4.473 7.360 90.00 90.00 90.00
Positions (direct):
Ce (0.141, 0.250, 0.056)
Ce (0.359, 0.750, 0.556)
Ce (0.641, 0.250, 0.444)
Ce (0.859, 0.750, 0.944)
In (0.035, 0.750, 0.857)
In (0.071, 0.250, 0.506)
In (0.187, 0.750, 0.358)
In (0.192, 0.750, 0.762)
In (0.308, 0.250, 0.262)
In (0.313, 0.250, 0.858)
In (0.429, 0.750, 0.006)
In (0.465, 0.250, 0.357)
In (0.535, 0.750, 0.643)
In (0.571, 0.250, 0.994)
In (0.687, 0.750, 0.142)
In (0.692, 0.750, 0.738)
In (0.808, 0.250, 0.238)
In (0.813, 0.250, 0.642)
In (0.929, 0.750, 0.494)
In (0.965, 0.250, 0.143)
Rh (0.044, 0.750, 0.246)
Rh (0.221, 0.250, 0.562)
Rh (0.279, 0.750, 0.062)
Rh (0.456, 0.250, 0.746)
Rh (0.544, 0.750, 0.254)
Rh (0.721, 0.250, 0.938)
Rh (0.779, 0.750, 0.438)
Rh (0.956, 0.250, 0.754)

---

K4Cd2Ag3 | GGA-PBE | relaxed

Summary:
Total energy   -1.651 eV/atom
DOS at the Fermi energy   0.29 states/eV per atom
ΔH_f (0 K)   -0.0099 eV per atom

Lattice parameters (Å, degrees): 9.601 9.601 8.231 106.63 106.63 26.77
Positions (direct):
K (0.070, 0.070, 0.386)
K (0.258, 0.258, 0.792)
K (0.742, 0.742, 0.208)
K (0.930, 0.930, 0.614)
Cd (0.095, 0.095, 0.972)
Cd (0.905, 0.905, 0.028)
Ag (0.404, 0.404, 0.244)
Ag (0.500, 0.500, 0.000)
Ag (0.596, 0.596, 0.756)